(one)
A plane-wave DFT calculation with PBE-GGA was carried out for PPb2S after structural relaxation.

Cell: 7.234 7.234 7.234 Å, 90.00 90.00 90.00°
Sites, in units of the cell vectors:
P  0.000  0.000  0.000
P  0.000  0.500  0.500
P  0.500  0.000  0.500
P  0.500  0.500  0.000
Pb  0.250  0.250  0.250
Pb  0.250  0.250  0.750
Pb  0.250  0.750  0.250
Pb  0.250  0.750  0.750
Pb  0.750  0.250  0.250
Pb  0.750  0.250  0.750
Pb  0.750  0.750  0.250
Pb  0.750  0.750  0.750
S  0.000  0.000  0.500
S  0.000  0.500  0.000
S  0.500  0.000  0.000
S  0.500  0.500  0.500

(two)
A plane-wave DFT calculation with PBE-GGA was carried out for PPb2S after structural relaxation.

Cell: 7.217 7.217 9.369 Å, 90.00 90.00 90.00°
Sites, in units of the cell vectors:
P  0.000  0.000  0.000
P  0.000  0.500  0.250
P  0.500  0.000  0.750
P  0.500  0.500  0.500
Pb  0.242  0.250  0.125
Pb  0.250  0.742  0.375
Pb  0.250  0.758  0.875
Pb  0.258  0.250  0.625
Pb  0.742  0.750  0.625
Pb  0.750  0.242  0.875
Pb  0.750  0.258  0.375
Pb  0.758  0.750  0.125
S  0.000  0.000  0.500
S  0.000  0.500  0.750
S  0.500  0.000  0.250
S  0.500  0.500  0.000

Which structure above is the least stable? It is (one).